# 1
Compound: CaTbPr6Dy2
Source: Alexandria via LeMat-Bulk
Functional: PBE-GGA
Structure: optimized geometry

Space group   C2/c, No. 15
DOS(E_F)   30.80 states/eV per cell
E_form   0.13 eV/atom

Geometry as POSCAR:
```
CaTbPr6Dy2
1.0
-2.499 9.583 -1.002
1.519 -1.260 -8.860
-8.046 -2.472 3.399
Ca Tb Pr Dy
2 2 12 4
Direct
0.250 0.402 0.598
0.750 0.598 0.402
0.250 0.973 0.027
0.750 0.027 0.973
0.053 0.113 0.764
0.447 0.236 0.887
0.947 0.887 0.236
0.553 0.764 0.113
0.322 0.974 0.432
0.178 0.568 0.026
0.678 0.026 0.568
0.822 0.432 0.974
0.122 0.710 0.499
0.378 0.501 0.290
0.878 0.290 0.501
0.622 0.499 0.710
0.456 0.803 0.705
0.044 0.295 0.197
0.544 0.197 0.295
0.956 0.705 0.803
```

=====

# 2
Compound: Zr2CuPb
Source: Alexandria via LeMat-Bulk
Functional: PBE-GGA
Structure: optimized geometry

Space group   Pmm2, No. 25
DOS(E_F)   2.02 states/eV per cell
E_form   0.01 eV/atom

Geometry as POSCAR:
```
Zr2CuPb
1.0
-3.048 -1.328 -0.679
-0.265 -1.323 3.781
-2.756 5.450 1.714
Cu Pb Zr
1 1 2
Direct
0.000 0.000 0.478
0.500 0.500 0.742
0.000 0.000 0.010
0.500 0.500 0.270
```

=====

# 3
Compound: TaPbS4
Source: Alexandria via LeMat-Bulk
Functional: PBE-GGA
Structure: optimized geometry

Raw formation energy   -0.518 eV per atom
Space group   Cmc2_1, No. 36
DOS(E_F)   5.70 states/eV per cell

Geometry as POSCAR:
```
TaPbS4
1.0
4.845 0.000 0.000
0.000 6.324 0.000
-2.423 0.000 9.814
Ta Pb S
2 2 8
Direct
0.584 0.758 0.169
0.416 0.258 0.831
0.822 0.856 0.645
0.178 0.356 0.355
0.912 0.226 0.825
0.088 0.726 0.175
0.468 0.885 0.936
0.532 0.385 0.064
0.701 0.597 0.402
0.299 0.097 0.598
0.618 0.112 0.235
0.382 0.612 0.765
```

=====

# 4
Compound: Li2NbBI
Source: Alexandria via LeMat-Bulk
Functional: PBE-GGA
Structure: optimized geometry

Raw formation energy   1.375 eV per atom
Space group   P4/mmm, No. 123
DOS(E_F)   2.01 states/eV per cell

Geometry as POSCAR:
```
Li2NbBI
1.0
-2.606 3.299 -1.713
-3.118 -0.206 4.347
2.613 3.114 2.021
I Nb B Li
1 1 1 2
Direct
0.000 0.000 0.000
0.000 0.500 0.000
0.500 0.500 0.500
0.000 0.000 0.500
0.500 0.000 0.000
```

=====

# 5
Compound: BaRuN3
Source: Alexandria via LeMat-Bulk
Functional: PBE-GGA
Structure: optimized geometry

Raw formation energy   0.347 eV per atom
Space group   Pm-3m, No. 221
DOS(E_F)   3.86 states/eV per cell

Geometry as POSCAR:
```
BaRuN3
1.0
4.013 0.000 0.000
0.000 4.013 0.000
0.000 0.000 4.013
Ru Ba N
1 1 3
Direct
0.000 0.000 0.000
0.500 0.500 0.500
0.000 0.500 0.000
0.000 0.000 0.500
0.500 0.000 0.000
```

=====

# 6
Compound: Sr2TeMoCl
Source: Alexandria via LeMat-Bulk
Functional: PBE-GGA
Structure: optimized geometry

Raw formation energy   0.209 eV per atom
Space group   P4/mmm, No. 123
DOS(E_F)   2.37 states/eV per cell

Geometry as POSCAR:
```
Sr2TeMoCl
1.0
-1.772 -4.071 3.210
-3.132 -2.523 -4.928
4.427 -2.953 -1.301
Sr Mo Te Cl
2 1 1 1
Direct
0.000 0.000 0.500
0.500 0.000 0.000
0.500 0.500 0.500
0.000 0.500 0.000
0.000 0.000 0.000
```

=====

# 7
Compound: Fe2CoIr
Source: Alexandria via LeMat-Bulk
Functional: PBE-GGA
Structure: optimized geometry

Space group   P4/mmm, No. 123
DOS(E_F)   5.52 states/eV per cell
E_form   0.02 eV/atom

Geometry as POSCAR:
```
Fe2CoIr
1.0
3.639 0.000 0.000
0.000 3.646 0.000
0.000 0.000 3.646
Co Fe Ir
1 2 1
Direct
0.500 0.000 0.500
0.000 0.000 0.000
0.000 0.500 0.500
0.500 0.500 0.000
```

=====

# 8
Compound: YHoAg6
Source: Alexandria via LeMat-Bulk
Functional: PBE-GGA
Structure: optimized geometry

Space group   C2/m, No. 12
DOS(E_F)   4.81 states/eV per cell
E_form   -0.22 eV/atom

Geometry as POSCAR:
```
YHoAg6
1.0
-4.027 -1.270 -1.489
-3.624 -0.682 3.651
-4.284 6.904 -1.033
Y Ho Ag
1 1 6
Direct
0.000 0.000 0.000
0.000 0.500 0.500
0.251 0.875 0.623
0.499 0.253 0.750
0.250 0.373 0.127
0.501 0.747 0.250
0.749 0.125 0.377
0.750 0.627 0.873
```

=====

# 9
Compound: BaInP2
Source: Alexandria via LeMat-Bulk
Functional: PBE-GGA
Structure: optimized geometry

Space group   I-42d, No. 122
DOS(E_F)   3.25 states/eV per cell
E_form   -0.41 eV/atom

Geometry as POSCAR:
```
BaInP2
1.0
7.651 0.000 0.000
0.000 7.651 0.000
3.825 3.825 3.924
P Ba In
4 2 2
Direct
0.556 0.125 0.250
0.194 0.625 0.250
0.375 0.444 0.750
0.875 0.806 0.750
0.000 0.000 0.000
0.750 0.250 0.500
0.500 0.500 0.000
0.250 0.750 0.500
```

=====

# 10
Compound: PmPuRhAu
Source: Alexandria via LeMat-Bulk
Functional: PBE-GGA
Structure: optimized geometry

Space group   Amm2, No. 38
DOS(E_F)   10.62 states/eV per cell
Energy relative to the lowest polymorph listed for this composition   0 meV per atom
E_form   -0.60 eV/atom

Geometry as POSCAR:
```
PmPuRhAu
1.0
-2.555 -0.140 -3.030
2.992 -1.728 -2.443
-0.374 -5.097 3.147
Pm Pu Rh Au
1 1 1 1
Direct
0.151 0.000 0.301
0.867 0.500 0.733
0.403 0.000 0.806
0.580 0.500 0.159
```

=====

# 11
Compound: HoUBi2
Source: Alexandria via LeMat-Bulk
Functional: PBE-GGA
Structure: optimized geometry

Space group   P4/mmm, No. 123
DOS(E_F)   5.95 states/eV per cell
Energy relative to the lowest polymorph listed for this composition   140 meV per atom
E_form   -0.19 eV/atom

Geometry as POSCAR:
```
HoUBi2
1.0
3.892 0.000 0.000
0.000 5.409 0.000
0.000 0.000 5.409
U Bi Ho
1 2 1
Direct
0.500 0.500 0.500
0.000 0.000 0.500
0.000 0.500 0.000
0.500 0.000 0.000
```

=====

# 12
Compound: Tm4AlCd2Hg
Source: Alexandria via LeMat-Bulk
Functional: PBE-GGA
Structure: optimized geometry

Space group   R-3m, No. 166
DOS(E_F)   6.44 states/eV per cell
E_form   -0.37 eV/atom

Geometry as POSCAR:
```
Tm4AlCd2Hg
1.0
-0.880 4.061 3.068
-1.822 -0.721 4.779
7.003 0.608 5.553
Tm Al Cd Hg
4 1 2 1
Direct
0.376 0.376 0.872
0.874 0.874 0.378
0.126 0.126 0.622
0.624 0.624 0.128
0.500 0.500 0.500
0.751 0.751 0.746
0.249 0.249 0.254
0.000 0.000 0.000
```

=====

# 13
Compound: HfZr2AgN
Source: Alexandria via LeMat-Bulk
Functional: PBE-GGA
Structure: optimized geometry

Raw formation energy   -0.729 eV per atom
Space group   P4/mmm, No. 123
DOS(E_F)   4.45 states/eV per cell

Geometry as POSCAR:
```
HfZr2AgN
1.0
4.502 0.000 0.000
0.000 4.502 0.000
0.000 0.000 4.412
Hf Zr Ag N
1 2 1 1
Direct
0.000 0.000 0.500
0.000 0.500 0.000
0.500 0.000 0.000
0.500 0.500 0.500
0.000 0.000 0.000
```

=====

# 14
Compound: Y2TlAs2
Source: Alexandria via LeMat-Bulk
Functional: PBE-GGA
Structure: optimized geometry

Space group   P4/mbm, No. 127
DOS(E_F)   2.67 states/eV per cell
Energy relative to the lowest polymorph listed for this composition   0 meV per atom
E_form   -0.95 eV/atom

Geometry as POSCAR:
```
Y2TlAs2
1.0
8.032 0.000 0.000
0.000 8.032 0.000
0.000 0.000 3.801
Y Tl As
4 2 4
Direct
0.156 0.656 0.500
0.656 0.844 0.500
0.844 0.344 0.500
0.344 0.156 0.500
0.000 0.000 0.000
0.500 0.500 0.000
0.355 0.855 0.000
0.855 0.645 0.000
0.645 0.145 0.000
0.145 0.355 0.000
```